Compound: Fe2HgBr
Source: Alexandria via LeMat-Bulk
Functional: GGA-PBE
Structure: relaxed

a = 8.999 Å, b = 8.999 Å, c = 8.999 Å
α = 20.53°, β = 20.53°, γ = 20.53°
Fractional positions:
Hg1 0.517 0.517 0.517
Fe1 0.993 0.993 0.993
Fe2 0.264 0.264 0.264
Br1 0.726 0.726 0.726

Results
**Formation energy (no corrections)**: 0.28 eV/atom
**Symmetry**: R3m, No. 160
**Relative energy among the computed polymorphs**: 0.00 eV/f.u.
**Fermi-level density of states**: 2.741 states/eV per cell

---

Compound: Fe2HgBr
Source: Alexandria via LeMat-Bulk
Functional: GGA-PBE
Structure: relaxed

a = 3.228 Å, b = 3.228 Å, c = 8.670 Å
α = 90.00°, β = 90.00°, γ = 123.11°
Fractional positions:
Br1 0.500 0.500 0.750
Fe1 0.000 0.000 0.511
Fe2 0.000 0.000 0.989
Hg1 0.500 0.500 0.250

Results
**Formation energy (no corrections)**: 0.64 eV/atom
**Symmetry**: Cmmm, No. 65
**Relative energy among the computed polymorphs**: 1.45 eV/f.u.
**Fermi-level density of states**: 3.105 states/eV per cell

---

Compound: Fe3HgBr9
Source: Alexandria via LeMat-Bulk
Functional: GGA-PBE
Structure: relaxed

a = 9.497 Å, b = 10.597 Å, c = 11.555 Å
α = 75.68°, β = 65.74°, γ = 63.38°
Fractional positions:
Br1 0.257 0.875 0.080
Br2 0.468 0.255 0.585
Br3 0.837 0.947 0.370
Br4 0.037 0.579 0.220
Br5 0.590 0.762 0.682
Br6 0.692 0.755 0.085
Br7 0.478 0.499 0.232
Br8 0.306 0.209 0.340
Br9 0.085 0.567 0.535
Br10 0.419 0.326 0.918
Br11 0.788 0.375 0.580
Br12 0.791 0.999 0.732
Br13 0.813 0.067 0.035
Br14 0.336 0.826 0.418
Br15 0.164 0.079 0.720
Br16 0.966 0.262 0.182
Br17 0.846 0.447 0.870
Br18 0.146 0.709 0.840
Fe1 0.431 0.749 0.217
Fe2 0.991 0.955 0.833
Fe3 0.819 0.542 0.670
Fe4 0.602 0.249 0.717
Fe5 0.969 0.042 0.170
Fe6 0.220 0.455 0.333
Hg1 0.028 0.492 0.995
Hg2 0.485 0.992 0.495

Results
**Formation energy (no corrections)**: -0.41 eV/atom
**Symmetry**: Cc, No. 9
**Fermi-level density of states**: 12.149 states/eV per cell

---

Compound: FeHg2Br
Source: Alexandria via LeMat-Bulk
Functional: GGA-PBE
Structure: relaxed

a = 7.260 Å, b = 7.260 Å, c = 7.260 Å
α = 154.77°, β = 141.09°, γ = 46.94°
Fractional positions:
Br1 0.413 0.413 0.000
Fe1 0.267 0.767 0.500
Hg1 0.088 0.088 0.000
Hg2 0.732 0.232 0.500

Results
**Formation energy (no corrections)**: 0.16 eV/atom
**Symmetry**: Imm2, No. 44
**Relative energy among the computed polymorphs**: 0.14 eV/f.u.
**Fermi-level density of states**: 1.910 states/eV per cell

---

Compound: FeHg2Br
Source: Alexandria via LeMat-Bulk
Functional: GGA-PBE
Structure: relaxed

a = 3.318 Å, b = 4.363 Å, c = 7.415 Å
α = 72.87°, β = 90.00°, γ = 90.00°
Fractional positions:
Hg1 0.500 0.333 0.208
Hg2 0.000 0.976 0.922
Br1 0.000 0.662 0.550
Fe1 0.500 0.528 0.819

Results
**Formation energy (no corrections)**: 0.13 eV/atom
**Symmetry**: Amm2, No. 38
**Relative energy among the computed polymorphs**: 0.02 eV/f.u.
**Fermi-level density of states**: 2.535 states/eV per cell

---

Compound: FeHg2Br
Source: Alexandria via LeMat-Bulk
Functional: GGA-PBE
Structure: relaxed

a = 5.195 Å, b = 5.195 Å, c = 5.195 Å
α = 60.00°, β = 60.00°, γ = 60.00°
Fractional positions:
Hg1 0.250 0.250 0.250
Hg2 0.750 0.750 0.750
Fe1 0.000 0.000 0.000
Br1 0.500 0.500 0.500

Results
**Formation energy (no corrections)**: 0.66 eV/atom
**Symmetry**: Fm-3m, No. 225
**Relative energy among the computed polymorphs**: 2.12 eV/f.u.
**Fermi-level density of states**: 11.784 states/eV per cell

---

Compound: Fe3HgBr
Source: Alexandria via LeMat-Bulk
Functional: GGA-PBE
Structure: relaxed

a = 4.456 Å, b = 4.456 Å, c = 4.456 Å
α = 90.00°, β = 90.00°, γ = 90.00°
Fractional positions:
Fe1 0.000 0.000 0.500
Fe2 0.000 0.500 0.000
Fe3 0.500 0.000 0.000
Br1 0.000 0.000 0.000
Hg1 0.500 0.500 0.500

Results
**Formation energy (no corrections)**: 1.05 eV/atom
**Symmetry**: Pm-3m, No. 221
**Relative energy among the computed polymorphs**: 0.00 eV/f.u.
**Fermi-level density of states**: 2.703 states/eV per cell

---

Compound: Fe2HgBr
Source: Alexandria via LeMat-Bulk
Functional: GGA-PBE
Structure: relaxed

a = 3.749 Å, b = 3.243 Å, c = 6.841 Å
α = 89.08°, β = 90.00°, γ = 90.00°
Fractional positions:
Br1 0.500 0.885 0.838
Fe1 0.500 0.375 0.132
Fe2 0.000 0.876 0.099
Hg1 0.000 0.365 0.432

Results
**Formation energy (no corrections)**: 0.37 eV/atom
**Symmetry**: Pm, No. 6
**Relative energy among the computed polymorphs**: 0.34 eV/f.u.
**Fermi-level density of states**: 2.976 states/eV per cell

---

Compound: Fe2HgBr
Source: Alexandria via LeMat-Bulk
Functional: GGA-PBE
Structure: relaxed

a = 5.933 Å, b = 5.933 Å, c = 5.933 Å
α = 142.80°, β = 142.80°, γ = 53.62°
Fractional positions:
Hg1 0.500 0.500 0.000
Fe1 0.000 0.000 0.000
Fe2 0.250 0.750 0.500
Br1 0.750 0.250 0.500

Results
**Formation energy (no corrections)**: 0.77 eV/atom
**Symmetry**: I-4m2, No. 119
**Relative energy among the computed polymorphs**: 1.94 eV/f.u.
**Fermi-level density of states**: 5.801 states/eV per cell

---

Compound: Fe2HgBr
Source: Alexandria via LeMat-Bulk
Functional: GGA-PBE
Structure: relaxed

a = 8.425 Å, b = 8.425 Å, c = 8.425 Å
α = 21.59°, β = 21.59°, γ = 21.59°
Fractional positions:
Fe1 0.496 0.496 0.496
Fe2 0.004 0.004 0.004
Br1 0.750 0.750 0.750
Hg1 0.250 0.250 0.250

Results
**Formation energy (no corrections)**: 0.55 eV/atom
**Symmetry**: R-3m, No. 166
**Relative energy among the computed polymorphs**: 1.08 eV/f.u.
**Fermi-level density of states**: 3.174 states/eV per cell

---

Compound: FeHg2Br
Source: Alexandria via LeMat-Bulk
Functional: GGA-PBE
Structure: relaxed

a = 8.595 Å, b = 8.595 Å, c = 8.595 Å
α = 23.93°, β = 23.93°, γ = 23.93°
Fractional positions:
Hg1 0.492 0.492 0.492
Hg2 0.008 0.008 0.008
Br1 0.250 0.250 0.250
Fe1 0.750 0.750 0.750

Results
**Formation energy (no corrections)**: 0.28 eV/atom
**Symmetry**: R-3m, No. 166
**Relative energy among the computed polymorphs**: 0.59 eV/f.u.
**Fermi-level density of states**: 3.341 states/eV per cell

---

Compound: FeHg2Br
Source: Alexandria via LeMat-Bulk
Functional: GGA-PBE
Structure: relaxed

a = 5.540 Å, b = 5.540 Å, c = 3.490 Å
α = 89.34°, β = 89.34°, γ = 120.22°
Fractional positions:
Hg1 0.500 0.500 0.000
Hg2 0.000 0.000 0.000
Fe1 0.000 0.500 0.500
Br1 0.500 0.000 0.500

Results
**Formation energy (no corrections)**: 0.42 eV/atom
**Symmetry**: C2/m, No. 12
**Relative energy among the computed polymorphs**: 1.17 eV/f.u.
**Fermi-level density of states**: 4.068 states/eV per cell

---

Compound: Fe2HgBr8
Source: Alexandria via LeMat-Bulk
Functional: GGA-PBE
Structure: relaxed

a = 6.565 Å, b = 8.144 Å, c = 8.144 Å
α = 79.59°, β = 85.95°, γ = 85.95°
Fractional positions:
Br1 0.237 0.923 0.288
Br2 0.234 0.377 0.377
Br3 0.719 0.195 0.195
Br4 0.766 0.623 0.623
Br5 0.237 0.288 0.923
Br6 0.763 0.077 0.712
Br7 0.281 0.805 0.805
Br8 0.763 0.712 0.077
Hg1 0.000 0.000 0.000
Fe1 0.644 0.801 0.801
Fe2 0.356 0.199 0.199

Results
**Formation energy (no corrections)**: -0.44 eV/atom
**Symmetry**: C2/m, No. 12

---

Compound: FeHg2Br8
Source: Alexandria via LeMat-Bulk
Functional: GGA-PBE
Structure: relaxed

a = 6.984 Å, b = 7.223 Å, c = 10.579 Å
α = 107.65°, β = 90.00°, γ = 118.91°
Fractional positions:
Hg1 0.326 0.653 0.435
Hg2 0.674 0.347 0.565
Br1 0.105 0.741 0.891
Br2 0.548 0.095 0.700
Br3 0.365 0.259 0.109
Br4 0.452 0.905 0.300
Br5 0.822 0.644 0.461
Br6 0.635 0.741 0.891
Br7 0.895 0.259 0.109
Br8 0.178 0.356 0.539
Fe1 0.000 0.000 0.000

Results
**Formation energy (no corrections)**: -0.31 eV/atom
**Symmetry**: C2/m, No. 12
**Fermi-level density of states**: 4.765 states/eV per cell

---

Compound: Fe2HgBr
Source: Alexandria via LeMat-Bulk
Functional: GGA-PBE
Structure: relaxed

a = 7.010 Å, b = 7.010 Å, c = 5.889 Å
α = 53.47°, β = 53.47°, γ = 90.00°
Fractional positions:
Br1 0.250 0.750 0.500
Br2 0.500 0.500 0.000
Hg1 0.000 0.000 0.000
Hg2 0.750 0.250 0.500
Fe1 0.875 0.852 0.750
Fe2 0.148 0.625 0.250
Fe3 0.375 0.398 0.750
Fe4 0.602 0.125 0.250

Results
**Formation energy (no corrections)**: 0.74 eV/atom
**Symmetry**: I-42d, No. 122
**Relative energy among the computed polymorphs**: 1.82 eV/f.u.
**Fermi-level density of states**: 9.989 states/eV per cell

---

Compound: FeHg2Br
Source: Alexandria via LeMat-Bulk
Functional: GGA-PBE
Structure: relaxed

a = 3.446 Å, b = 4.649 Å, c = 6.042 Å
α = 90.00°, β = 90.00°, γ = 90.00°
Fractional positions:
Hg1 0.500 0.500 0.000
Hg2 0.000 0.000 0.000
Br1 0.500 0.000 0.500
Fe1 0.000 0.500 0.500

Results
**Formation energy (no corrections)**: 0.44 eV/atom
**Symmetry**: Pmmm, No. 47
**Relative energy among the computed polymorphs**: 1.26 eV/f.u.
**Fermi-level density of states**: 3.040 states/eV per cell

---

Compound: FeHg2Br
Source: Alexandria via LeMat-Bulk
Functional: GGA-PBE
Structure: relaxed

a = 6.565 Å, b = 6.565 Å, c = 6.565 Å
α = 144.15°, β = 144.15°, γ = 51.61°
Fractional positions:
Hg1 0.500 0.500 0.000
Hg2 0.000 0.000 0.000
Fe1 0.750 0.250 0.500
Br1 0.250 0.750 0.500

Results
**Formation energy (no corrections)**: 0.46 eV/atom
**Symmetry**: I4/mmm, No. 139
**Relative energy among the computed polymorphs**: 1.33 eV/f.u.
**Fermi-level density of states**: 6.728 states/eV per cell

---

Compound: FeHg2Br6
Source: Alexandria via LeMat-Bulk
Functional: GGA-PBE
Structure: relaxed

a = 7.128 Å, b = 10.727 Å, c = 10.727 Å
α = 87.37°, β = 70.95°, γ = 70.95°
Fractional positions:
Hg1 0.550 0.822 0.660
Hg2 0.450 0.178 0.340
Hg3 0.050 0.660 0.822
Hg4 0.950 0.340 0.178
Br1 0.366 0.423 0.769
Br2 0.445 0.951 0.241
Br3 0.690 0.638 0.822
Br4 0.055 0.759 0.049
Br5 0.555 0.049 0.759
Br6 0.945 0.241 0.951
Br7 0.190 0.822 0.638
Br8 0.810 0.178 0.362
Br9 0.634 0.577 0.231
Br10 0.134 0.231 0.577
Br11 0.310 0.362 0.178
Br12 0.866 0.769 0.423
Fe1 0.750 0.764 0.236
Fe2 0.250 0.236 0.764

Results
**Formation energy (no corrections)**: -0.43 eV/atom
**Symmetry**: C2/c, No. 15
**Fermi-level density of states**: 7.815 states/eV per cell

---

Compound: Fe3HgBr
Source: Alexandria via LeMat-Bulk
Functional: GGA-PBE
Structure: relaxed

a = 5.003 Å, b = 5.003 Å, c = 5.003 Å
α = 90.00°, β = 90.00°, γ = 90.00°
Fractional positions:
Br1 0.500 0.500 0.500
Fe1 0.000 0.000 0.500
Fe2 0.000 0.500 0.000
Fe3 0.500 0.000 0.000
Hg1 0.000 0.000 0.000

Results
**Formation energy (no corrections)**: 1.43 eV/atom
**Symmetry**: Pm-3m, No. 221
**Relative energy among the computed polymorphs**: 1.91 eV/f.u.
**Fermi-level density of states**: 7.795 states/eV per cell

---

Compound: Fe2HgBr8
Source: Alexandria via LeMat-Bulk
Functional: GGA-PBE
Structure: relaxed

a = 6.585 Å, b = 8.244 Å, c = 8.244 Å
α = 71.90°, β = 86.11°, γ = 86.11°
Fractional positions:
Fe1 0.359 0.186 0.186
Fe2 0.641 0.814 0.814
Hg1 0.000 0.000 0.000
Br1 0.242 0.353 0.353
Br2 0.237 0.903 0.295
Br3 0.763 0.097 0.705
Br4 0.720 0.182 0.182
Br5 0.763 0.705 0.097
Br6 0.280 0.818 0.818
Br7 0.237 0.295 0.903
Br8 0.758 0.647 0.647

Results
**Formation energy (no corrections)**: -0.44 eV/atom
**Symmetry**: C2/m, No. 12

---

Compound: Fe2HgI6Br2
Source: Alexandria via LeMat-Bulk
Functional: GGA-PBE
Structure: relaxed

a = 7.395 Å, b = 7.395 Å, c = 10.365 Å
α = 90.00°, β = 90.00°, γ = 120.00°
Fractional positions:
I1 0.666 0.665 0.176
I2 0.335 0.001 0.176
I3 0.334 0.335 0.824
I4 0.665 0.999 0.824
I5 0.001 0.666 0.824
I6 0.999 0.334 0.176
Hg1 0.000 0.000 0.000
Fe1 0.667 0.333 0.254
Fe2 0.333 0.667 0.746
Br1 0.333 0.667 0.524
Br2 0.667 0.333 0.476

Results
**Formation energy (no corrections)**: -0.22 eV/atom
**Symmetry**: P-3, No. 147
**Fermi-level density of states**: 0.319 states/eV per cell

---

Compound: Fe2HgI2Br6
Source: Alexandria via LeMat-Bulk
Functional: GGA-PBE
Structure: relaxed

a = 6.904 Å, b = 6.904 Å, c = 10.914 Å
α = 90.00°, β = 90.00°, γ = 120.00°
Fractional positions:
Br1 0.997 0.334 0.156
Br2 0.003 0.666 0.844
Br3 0.337 0.003 0.156
Br4 0.663 0.997 0.844
Br5 0.666 0.663 0.156
Br6 0.334 0.337 0.844
Fe1 0.333 0.667 0.778
Fe2 0.667 0.333 0.222
Hg1 0.000 0.000 0.000
I1 0.333 0.667 0.549
I2 0.667 0.333 0.451

Results
**Formation energy (no corrections)**: -0.36 eV/atom
**Symmetry**: P-3, No. 147
**Fermi-level density of states**: 0.488 states/eV per cell

---

Compound: FeHgIrBr2
Source: Alexandria via LeMat-Bulk
Functional: GGA-PBE
Structure: relaxed

a = 5.152 Å, b = 4.897 Å, c = 5.152 Å
α = 90.00°, β = 90.00°, γ = 90.00°
Fractional positions:
Ir1 0.000 0.000 0.000
Br1 0.000 0.000 0.500
Br2 0.500 0.000 0.000
Hg1 0.500 0.500 0.500
Fe1 0.000 0.500 0.000

Results
**Formation energy (no corrections)**: 0.61 eV/atom
**Symmetry**: P4/mmm, No. 123
**Fermi-level density of states**: 5.871 states/eV per cell

---

Compound: K2FeHgBr6
Source: Alexandria via LeMat-Bulk
Functional: GGA-PBE
Structure: relaxed

a = 7.758 Å, b = 7.754 Å, c = 7.549 Å
α = 59.03°, β = 59.14°, γ = 59.90°
Fractional positions:
Fe1 0.316 0.316 0.052
Br1 0.542 0.156 0.296
Br2 0.625 0.088 0.809
Br3 0.007 0.544 0.294
Br4 0.090 0.477 0.807
Br5 0.477 0.625 0.807
Br6 0.155 0.008 0.296
K1 0.075 0.075 0.774
K2 0.557 0.557 0.330
Hg1 0.816 0.816 0.552

Results
**Formation energy (no corrections)**: -0.92 eV/atom
**Symmetry**: P-1, No. 2
**Fermi-level density of states**: 3.664 states/eV per cell

---

Compound: MgFeHg2Br
Source: Alexandria via LeMat-Bulk
Functional: GGA-PBE
Structure: relaxed

a = 5.536 Å, b = 5.115 Å, c = 5.536 Å
α = 90.00°, β = 90.00°, γ = 90.00°
Fractional positions:
Hg1 0.500 0.000 0.000
Hg2 0.000 0.000 0.500
Br1 0.000 0.500 0.000
Mg1 0.000 0.000 0.000
Fe1 0.500 0.500 0.500

Results
**Formation energy (no corrections)**: 0.56 eV/atom
**Symmetry**: P4/mmm, No. 123
**Fermi-level density of states**: 11.666 states/eV per cell

---

VASP energy readings, ordered: -17.774 -16.321 -92.274 -10.096 -10.216 -8.112 -22.103 -17.435 -15.836 -16.690 -9.637 -9.057 -35.481 -25.908 -31.907 -8.972 -8.907 -45.882 -20.190 -35.474 -32.348 -34.304 -17.902 -30.186 -9.545 eV/cell